Entry 1:
A geometry-optimized MgTcPO2 structure. Source: Alexandria via LeMat-Bulk, functional PBE-GGA.

Structure (POSCAR):
```
MgTcPO2
1.0
3.795 0.000 0.000
0.000 3.795 0.000
0.000 0.000 5.141
Mg Tc P O
1 1 1 2
Cartesian
0.000 0.000 0.000
1.897 1.897 2.571
1.897 1.897 0.000
0.000 1.897 2.571
1.897 0.000 2.571
```

Computed properties:
excess energy over the best structure of this formula in the dataset	0.000	eV/atom
formation energy from raw total energies	-0.897	eV per atom

---

Entry 2:
A geometry-optimized CsRb2Te3 structure. Source: Alexandria via LeMat-Bulk, functional PBE-GGA.

Structure (POSCAR):
```
CsRb2Te3
1.0
9.374 -5.160 0.000
9.374 5.160 0.000
0.000 0.000 6.204
Cs Rb Te
2 4 6
Cartesian
9.374 3.430 4.653
9.374 -3.430 1.551
6.034 1.801 1.551
6.034 -1.801 4.653
12.714 1.801 1.551
12.714 -1.801 4.653
3.176 0.000 0.000
3.176 0.000 3.102
9.374 0.408 1.551
9.374 -0.408 4.653
15.572 0.000 0.000
15.572 0.000 3.102
```

Computed properties:
formation energy from raw total energies	-0.818	eV per atom

---

Entry 3:
A geometry-optimized Zr2CdCl structure. Source: Alexandria via LeMat-Bulk, functional PBE-GGA.

Structure (POSCAR):
```
Zr2CdCl
1.0
0.000 3.599 3.599
3.599 0.000 3.599
3.599 3.599 0.000
Zr Cd Cl
2 1 1
Cartesian
0.000 0.000 0.000
1.799 1.799 1.799
3.599 3.599 3.599
5.398 5.398 5.398
```

Computed properties:
excess energy over the best structure of this formula in the dataset	0.943	eV/atom
formation energy from raw total energies	0.424	eV per atom

---

Entry 4:
A geometry-optimized Pr2NdHo8 structure. Source: Alexandria via LeMat-Bulk, functional PBE-GGA.

Structure (POSCAR):
```
Pr2NdHo8
1.0
4.532 -8.039 0.000
4.532 8.039 0.000
-3.208 0.000 4.981
Pr Nd Ho
2 1 8
Cartesian
4.532 4.919 0.000
4.532 -4.919 0.000
2.928 0.000 2.490
-0.302 0.000 1.474
-0.066 1.864 4.119
2.928 3.357 2.490
-0.066 -1.864 4.119
5.923 1.864 0.861
2.928 -3.357 2.490
5.923 -1.864 0.861
6.159 0.000 3.507
```

Computed properties:
excess energy over the best structure of this formula in the dataset	0.000	eV/atom
formation energy	158	meV/atom